1.
DFT (PBE-GGA) results for CsCo2Se3 after structural relaxation.

Output
total energy	-28.33	eV/f.u.
calculated volume	23.80	A^3/atom
size of the total moment	3.45	μB per cell

Lattice parameters (Å, degrees): 8.8978 3.6890 9.5547 90.00 114.41 90.00
Space group P2_1/m (No. 11)
One atom of each set of equivalent atoms:
Cs1 0.0189 0.2500 0.2668 x2
Co1 0.4732 0.2500 0.1544 x2
Co2 0.4764 0.7500 0.3956 x2
Se1 0.2852 0.7500 0.1432 x2
Se2 0.3470 0.7500 0.5672 x2
Se3 0.3651 0.2500 0.8776 x2


2.
DFT (PBE-GGA) results for CsCoSe2 after structural relaxation.

Output
total energy	-17.35	eV/f.u.
calculated volume	30.32	A^3/atom
size of the total moment	0.05	μB per cell

Lattice parameters (Å, degrees): 5.5171 7.2000 12.2118 90.00 90.00 90.00
Space group Immm (No. 71)
One atom of each set of equivalent atoms:
Cs1 0.0000 0.0000 0.1729 x4
Co1 0.2495 0.0000 0.5000 x4
Se1 0.0000 0.2510 0.5000 x4
Se2 0.0000 0.5000 0.1482 x4


3.
DFT (PBE-GGA) results for Cs2CoTe2Se after structural relaxation.

Output
total energy	-21.97	eV/f.u.
calculated volume	40.49	A^3/atom
size of the total moment	3.99	μB per cell

Lattice parameters (Å, degrees): 13.9782 7.6168 10.2829 90.00 117.43 90.00
Space group C2/m (No. 12)
One atom of each set of equivalent atoms:
Cs1 0.0792 0.0000 0.3435 x4
Cs2 0.1955 0.5000 0.8302 x4
Co1 0.0840 0.5000 0.1381 x4
Te1 0.1132 0.5000 0.3926 x4
Te2 0.2182 0.0000 0.7590 x4
Se1 0.0000 0.2658 0.0000 x4


4.
DFT (PBE-GGA) results for CsTmCoSe3 after structural relaxation.

Output
total energy	-29.96	eV/f.u.
calculated volume	30.18	A^3/atom
size of the total moment	4.22	μB per cell

Lattice parameters (Å, degrees): 9.7590 4.0240 10.0229 90.00 113.06 90.00
Space group P2_1/m (No. 11)
One atom of each set of equivalent atoms:
Cs1 0.2120 0.2500 0.2447 x2
Tm1 0.3317 0.7500 0.8600 x2
Co1 0.0740 0.2500 0.5930 x2
Se1 0.1236 0.2500 0.8481 x2
Se2 0.1818 0.7500 0.5441 x2
Se3 0.4744 0.7500 0.1616 x2


5.
DFT (PBE-GGA) results for CsYCoSe3 after structural relaxation.

Output
total energy	-32.00	eV/f.u.
calculated volume	30.72	A^3/atom
size of the total moment	4.18	μB per cell

Lattice parameters (Å, degrees): 9.8114 4.0555 10.0471 90.00 112.74 90.00
Space group P2_1/m (No. 11)
One atom of each set of equivalent atoms:
Cs1 0.2155 0.2500 0.2431 x2
Y1 0.3287 0.7500 0.8592 x2
Co1 0.0745 0.2500 0.5915 x2
Se1 0.1173 0.2500 0.8446 x2
Se2 0.1787 0.7500 0.5405 x2
Se3 0.4759 0.7500 0.1637 x2


6.
DFT (PBE-GGA) results for CsCoSi after structural relaxation.

Output
total energy	-6.78	eV/f.u.
calculated volume	29.87	A^3/atom
size of the total moment	5.70	μB per cell

Lattice parameters (Å, degrees): 7.1037 7.1037 7.1037 90.00 90.00 90.00
Space group F-43m (No. 216)
One atom of each set of equivalent atoms:
Cs1 0.0000 0.0000 0.0000 x4
Co1 0.2500 0.2500 0.7500 x4
Si1 0.2500 0.2500 0.2500 x4


7.
DFT (PBE-GGA) results for CsSmCo after structural relaxation.

Output
excess energy over the best structure of this formula in the dataset	0.0000	eV per atom
calculated volume	29.61	A^3/atom
size of the total moment	0.07	μB per cell

Lattice parameters (Å, degrees): 7.0828 7.0828 7.0828 90.00 90.00 90.00
Space group F-43m (No. 216)
One atom of each set of equivalent atoms:
Cs1 0.0000 0.0000 0.0000 x4
Sm1 0.0000 0.0000 0.5000 x4
Co1 0.2500 0.2500 0.2500 x4


8.
DFT (PBE-GGA) results for CsSmCo after structural relaxation.

Output
excess energy over the best structure of this formula in the dataset	0.6012	eV per atom
calculated volume	28.71	A^3/atom
size of the total moment	3.76	μB per cell

Lattice parameters (Å, degrees): 7.0102 7.0102 7.0102 90.00 90.00 90.00
Space group F-43m (No. 216)
One atom of each set of equivalent atoms:
Cs1 0.0000 0.0000 0.0000 x4
Sm1 0.2500 0.2500 0.7500 x4
Co1 0.2500 0.2500 0.2500 x4